Density functional theory data (GGA-PBE) for a geometry-optimized La2TcN structure.

Lattice parameters (Å, degrees): 3.547 3.547 8.306 77.67 77.67 60.00
Fractional positions:
N  0.500  0.500  0.500
Tc  0.000  0.000  0.000
La  0.105  0.105  0.685
La  0.895  0.895  0.315

- E_form (uncorrected): -0.03 eV per atom
- Space group: No. 166
- Calculated total energy: -28.68 eV per cell

Density functional theory data (GGA-PBE) for a geometry-optimized Nd3IrCl2 structure.

Lattice parameters (Å, degrees): 4.088 5.917 7.760 112.41 105.27 90.00
Fractional positions:
Nd  0.636  0.636  0.272
Nd  0.000  0.000  0.000
Nd  0.364  0.364  0.728
Ir  0.000  0.500  0.000
Cl  0.324  0.824  0.649
Cl  0.676  0.176  0.351

- E_form (uncorrected): -1.25 eV per atom
- Space group: No. 71
- Calculated total energy: -34.34 eV per cell

Density functional theory data (GGA-PBE) for a geometry-optimized HfNb2Re3 structure.

Lattice parameters (Å, degrees): 3.224 3.224 9.712 90.00 90.00 90.00
Fractional positions:
Hf  0.500  0.500  0.500
Nb  0.500  0.500  0.834
Nb  0.500  0.500  0.166
Re  0.000  0.000  0.000
Re  0.000  0.000  0.674
Re  0.000  0.000  0.326

- Formation energy: -0.327 eV/atom
- Space group: No. 123
- Calculated total energy: -69.40 eV per cell

Density functional theory data (GGA-PBE) for a geometry-optimized TaAsOs2S structure.

Lattice parameters (Å, degrees): 4.302 4.769 4.302 90.00 90.00 90.00
Fractional positions:
As  0.000  0.500  0.000
Os  0.000  0.000  0.500
Os  0.500  0.000  0.000
S  0.000  0.000  0.000
Ta  0.500  0.500  0.500

- E_form (uncorrected): 1.24 eV per atom
- Space group: No. 123
- Calculated total energy: -36.90 eV per cell

Density functional theory data (GGA-PBE) for a geometry-optimized TbYTm3 structure.

Lattice parameters (Å, degrees): 3.595 8.484 11.385 90.00 90.00 102.23
Fractional positions:
Tb  0.311  0.120  0.250
Tb  0.689  0.880  0.750
Y  0.986  0.470  0.250
Y  0.014  0.530  0.750
Tm  0.844  0.188  0.999
Tm  0.156  0.812  0.001
Tm  0.844  0.188  0.501
Tm  0.156  0.812  0.499
Tm  0.652  0.802  0.250
Tm  0.348  0.198  0.750

- Formation energy: 0.326 eV/atom
- ΔE to the lowest computed polymorph: 324.8 meV/atom
- Space group: No. 11
- Calculated total energy: -45.76 eV per cell

Density functional theory data (GGA-PBE) for a geometry-optimized LiGeB structure.

Lattice parameters (Å, degrees): 7.496 3.584 5.624 90.00 90.00 90.00
Fractional positions:
Ge  0.353  0.250  0.618
Ge  0.147  0.750  0.118
Ge  0.647  0.750  0.382
Ge  0.853  0.250  0.882
B  0.659  0.250  0.600
B  0.841  0.750  0.100
B  0.341  0.750  0.400
B  0.159  0.250  0.900
Li  0.400  0.250  0.156
Li  0.100  0.750  0.656
Li  0.600  0.750  0.844
Li  0.900  0.250  0.344

- Formation energy: 0.129 eV/atom
- Space group: No. 62
- Calculated total energy: -51.28 eV per cell

Density functional theory data (GGA-PBE) for a geometry-optimized LiSmZnSi2 structure.

Lattice parameters (Å, degrees): 4.100 4.100 6.023 109.90 109.90 90.00
Fractional positions:
Li  0.250  0.750  0.500
Sm  0.000  0.000  0.000
Zn  0.750  0.250  0.500
Si  0.611  0.611  0.222
Si  0.389  0.389  0.778

- E_form (uncorrected): -0.49 eV per atom
- Space group: No. 119
- Calculated total energy: -21.19 eV per cell

Density functional theory data (GGA-PBE) for a geometry-optimized DyAg2OsO6 structure.

Lattice parameters (Å, degrees): 5.663 5.708 8.160 90.00 90.66 90.00
Fractional positions:
Dy  0.500  0.000  0.000
Dy  0.000  0.500  0.500
Ag  0.996  0.989  0.248
Ag  0.496  0.511  0.748
Ag  0.004  0.011  0.752
Ag  0.504  0.489  0.252
Os  0.500  0.000  0.500
Os  0.000  0.500  0.000
O  0.286  0.669  0.038
O  0.786  0.831  0.538
O  0.714  0.331  0.962
O  0.214  0.169  0.462
O  0.336  0.714  0.461
O  0.836  0.786  0.961
O  0.664  0.286  0.539
O  0.164  0.214  0.039
O  0.925  0.527  0.228
O  0.425  0.973  0.728
O  0.075  0.473  0.772
O  0.575  0.027  0.272

- E_form (uncorrected): -1.30 eV per atom
- Space group: No. 14
- Calculated total energy: -128.60 eV per cell

Density functional theory data (GGA-PBE) for a geometry-optimized Al4ZnTc structure.

Lattice parameters (Å, degrees): 5.833 5.835 6.333 90.00 90.01 90.00
Fractional positions:
Al  0.750  0.750  0.264
Al  0.750  0.250  0.736
Al  0.250  0.250  0.264
Al  0.250  0.750  0.736
Al  0.250  0.250  0.736
Al  0.250  0.750  0.264
Al  0.750  0.750  0.736
Al  0.750  0.250  0.264
Zn  0.000  0.000  0.000
Zn  0.500  0.500  0.000
Tc  0.500  0.000  0.500
Tc  0.000  0.500  0.500

- Formation energy: -0.014 eV/atom
- ΔE to the lowest computed polymorph: 181.2 meV/atom
- Space group: No. 123
- Calculated total energy: -53.39 eV per cell

Density functional theory data (GGA-PBE) for a geometry-optimized SiHg2B structure.

Lattice parameters (Å, degrees): 4.679 4.679 8.025 73.05 73.05 90.00
Fractional positions:
Si  0.000  0.000  0.000
Si  0.750  0.250  0.500
B  0.500  0.500  0.000
B  0.250  0.750  0.500
Hg  0.565  0.125  0.250
Hg  0.185  0.625  0.250
Hg  0.375  0.435  0.750
Hg  0.875  0.815  0.750

- ΔE to the lowest computed polymorph: 0.0 meV/atom
- E_form (uncorrected): 1.00 eV per atom
- Space group: No. 122
- Calculated total energy: -17.40 eV per cell

Density functional theory data (GGA-PBE) for a geometry-optimized ScBiS2 structure.

Lattice parameters (Å, degrees): 9.120 3.702 3.702 122.13 115.81 64.19
Fractional positions:
Sc  0.500  0.500  0.500
S  0.686  0.697  0.303
S  0.314  0.303  0.697
Bi  0.000  0.000  0.000

- E_form (uncorrected): -1.12 eV per atom
- Space group: No. 12
- Calculated total energy: -22.94 eV per cell

Density functional theory data (GGA-PBE) for a geometry-optimized Al2CrRh structure.

Lattice parameters (Å, degrees): 4.926 4.926 4.327 71.02 71.02 34.20
Last column: magnetic moment on the atom in μB.
Fractional positions:
Cr  0.506  0.506  0.538  1.71
Rh  0.246  0.246  0.209  0.03
Al  0.990  0.990  0.048  -0.03
Al  0.758  0.758  0.705  -0.01

- Formation energy: -0.387 eV/atom
- ΔE to the lowest computed polymorph: 174.8 meV/atom
- Space group: No. 8
- Calculated total energy: -26.01 eV per cell